Record 1
Sc2Tl3FeSe6: optimized geometry, PBE-GGA.

a = 6.816 Å, b = 6.816 Å, c = 7.963 Å
α = 98.23°, β = 98.23°, γ = 119.97°
Positions (direct):
Sc (0.166, 0.834, 0.000)
Sc (0.834, 0.166, 0.000)
Tl (0.000, 0.000, 0.500)
Tl (0.329, 0.671, 0.500)
Tl (0.671, 0.329, 0.500)
Fe (0.500, 0.500, 0.000)
Se (0.114, 0.436, 0.809)
Se (0.241, 0.241, 0.194)
Se (0.436, 0.114, 0.809)
Se (0.564, 0.886, 0.191)
Se (0.759, 0.759, 0.806)
Se (0.886, 0.564, 0.191)

Output
* total energy: -4.97 eV per atom
* formation energy (no corrections): -0.877 eV per atom



Record 2
TlAsIr2: optimized geometry, PBE-GGA.

a = 3.097 Å, b = 4.630 Å, c = 5.134 Å
α = 90.00°, β = 90.00°, γ = 90.00°
Positions (direct):
Tl (0.000, 0.000, 0.000)
As (0.500, 0.500, 0.699)
Ir (0.000, 0.500, 0.333)
Ir (0.500, 0.000, 0.484)

Output
* total energy: -5.90 eV per atom



Record 3
CuSn2Sb2: optimized geometry, PBE-GGA.

a = 6.699 Å, b = 6.699 Å, c = 6.104 Å
α = 90.00°, β = 90.00°, γ = 90.00°
Positions (direct):
Cu (0.000, 0.000, 0.000)
Cu (0.500, 0.500, 0.000)
Sn (0.224, 0.276, 0.500)
Sn (0.276, 0.776, 0.500)
Sn (0.724, 0.224, 0.500)
Sn (0.776, 0.724, 0.500)
Sb (0.152, 0.348, 0.000)
Sb (0.348, 0.848, 0.000)
Sb (0.652, 0.152, 0.000)
Sb (0.848, 0.652, 0.000)

Output
* total energy: -3.94 eV per atom
* formation energy (no corrections): 0.125 eV per atom



Record 4
Tb5TlPt2: optimized geometry, PBE-GGA.

a = 8.754 Å, b = 8.754 Å, c = 8.754 Å
α = 126.26°, β = 126.26°, γ = 79.46°
Positions (direct):
Tb (0.000, 0.000, 0.000)
Tb (0.022, 0.522, 0.818)
Tb (0.204, 0.022, 0.500)
Tb (0.296, 0.796, 0.818)
Tb (0.478, 0.296, 0.500)
Tb (0.500, 0.500, 0.000)
Tb (0.522, 0.704, 0.500)
Tb (0.704, 0.204, 0.182)
Tb (0.796, 0.978, 0.500)
Tb (0.978, 0.478, 0.182)
Tl (0.250, 0.250, 0.000)
Tl (0.750, 0.750, 0.000)
Pt (0.136, 0.364, 0.500)
Pt (0.364, 0.864, 0.228)
Pt (0.636, 0.136, 0.772)
Pt (0.864, 0.636, 0.500)

Output
* total energy: -5.49 eV per atom



Record 5
IrRuAu: optimized geometry, PBE-GGA.

a = 2.813 Å, b = 3.854 Å, c = 8.542 Å
α = 90.00°, β = 90.00°, γ = 90.00°
Positions (direct):
Ir (0.000, 0.000, 0.000)
Ir (0.500, 0.500, 0.500)
Ru (0.000, 0.000, 0.644)
Ru (0.500, 0.500, 0.144)
Au (0.000, 0.000, 0.321)
Au (0.500, 0.500, 0.821)

Output
* total energy: -6.82 eV per atom



Record 6
Ge4WCl2: optimized geometry, PBE-GGA.

a = 4.883 Å, b = 4.883 Å, c = 15.961 Å
α = 90.00°, β = 90.00°, γ = 90.00°
Positions (direct):
Ge (0.000, 0.000, 0.152)
Ge (0.000, 0.000, 0.848)
Ge (0.000, 0.500, 0.000)
Ge (0.000, 0.500, 0.500)
Ge (0.500, 0.000, 0.000)
Ge (0.500, 0.000, 0.500)
Ge (0.500, 0.500, 0.348)
Ge (0.500, 0.500, 0.652)
W (0.000, 0.000, 0.000)
W (0.500, 0.500, 0.500)
Cl (0.000, 0.000, 0.320)
Cl (0.000, 0.000, 0.680)
Cl (0.500, 0.500, 0.180)
Cl (0.500, 0.500, 0.820)

Output
* total energy: -4.79 eV per atom
* formation energy (no corrections): 0.230 eV per atom



Record 7
Cd2GaAg7: optimized geometry, PBE-GGA.

a = 8.118 Å, b = 8.118 Å, c = 4.438 Å
α = 90.00°, β = 90.00°, γ = 124.55°
Positions (direct):
Cd (0.200, 0.800, 0.000)
Cd (0.800, 0.200, 0.000)
Ga (0.500, 0.500, 0.500)
Ag (0.000, 0.000, 0.000)
Ag (0.217, 0.417, 0.000)
Ag (0.317, 0.683, 0.500)
Ag (0.417, 0.217, 0.000)
Ag (0.583, 0.783, 0.000)
Ag (0.683, 0.317, 0.500)
Ag (0.783, 0.583, 0.000)

Output
* total energy: -2.23 eV per atom



Record 8
ZrInCuRh2: optimized geometry, PBE-GGA.

a = 4.811 Å, b = 4.811 Å, c = 4.955 Å
α = 90.00°, β = 90.00°, γ = 90.00°
Positions (direct):
Zr (0.000, 0.000, 0.000)
In (0.500, 0.500, 0.500)
Cu (0.000, 0.000, 0.500)
Rh (0.000, 0.500, 0.000)
Rh (0.500, 0.000, 0.000)

Output
* total energy: -5.27 eV per atom



Record 9
AcMg5Rh2: optimized geometry, PBE-GGA.

a = 4.218 Å, b = 8.372 Å, c = 9.996 Å
α = 90.00°, β = 90.00°, γ = 90.00°
Positions (direct):
Ac (0.000, 0.000, 0.000)
Ac (0.500, 0.500, 0.500)
Mg (0.000, 0.181, 0.333)
Mg (0.000, 0.181, 0.667)
Mg (0.000, 0.500, 0.000)
Mg (0.000, 0.819, 0.333)
Mg (0.000, 0.819, 0.667)
Mg (0.500, 0.000, 0.500)
Mg (0.500, 0.319, 0.167)
Mg (0.500, 0.319, 0.833)
Mg (0.500, 0.681, 0.167)
Mg (0.500, 0.681, 0.833)
Rh (0.000, 0.500, 0.267)
Rh (0.000, 0.500, 0.733)
Rh (0.500, 0.000, 0.233)
Rh (0.500, 0.000, 0.767)

Output
* total energy: -3.75 eV per atom



Record 10
AcTb2PmSe4: optimized geometry, PBE-GGA.

a = 7.210 Å, b = 4.136 Å, c = 7.501 Å
α = 90.00°, β = 108.53°, γ = 90.00°
Positions (direct):
Ac (0.000, 0.000, 0.000)
Tb (0.000, 0.500, 0.500)
Tb (0.500, 0.000, 0.500)
Pm (0.500, 0.500, 0.000)
Se (0.251, 0.000, 0.734)
Se (0.264, 0.500, 0.272)
Se (0.736, 0.500, 0.728)
Se (0.749, 0.000, 0.266)

Output
* total energy: -5.80 eV per atom
* formation energy (no corrections): -1.796 eV per atom



Record 11
UPa5N6: optimized geometry, PBE-GGA.

a = 6.053 Å, b = 6.053 Å, c = 6.056 Å
α = 99.56°, β = 99.56°, γ = 120.02°
Positions (direct):
U (0.000, 0.000, 0.000)
Pa (0.167, 0.833, 0.500)
Pa (0.333, 0.667, 0.000)
Pa (0.500, 0.500, 0.500)
Pa (0.667, 0.333, 0.000)
Pa (0.833, 0.167, 0.500)
N (0.083, 0.415, 0.249)
N (0.249, 0.249, 0.751)
N (0.415, 0.083, 0.249)
N (0.585, 0.917, 0.751)
N (0.751, 0.751, 0.249)
N (0.917, 0.585, 0.751)

Output
* total energy: -10.64 eV per atom
* formation energy (no corrections): -1.576 eV per atom



Record 12
RbTaCr2Hg: optimized geometry, PBE-GGA.

a = 4.871 Å, b = 4.871 Å, c = 6.637 Å
α = 90.00°, β = 90.00°, γ = 90.00°
Positions (direct):
Rb (0.000, 0.000, 0.000)
Ta (0.000, 0.000, 0.500)
Cr (0.000, 0.500, 0.500)
Cr (0.500, 0.000, 0.500)
Hg (0.500, 0.500, 0.000)

Output
* total energy: -4.95 eV per atom



Record 13
Y3InO: optimized geometry, PBE-GGA.

a = 12.304 Å, b = 12.304 Å, c = 12.304 Å
α = 154.95°, β = 154.95°, γ = 35.71°
Positions (direct):
Y (0.194, 0.194, 0.000)
Y (0.373, 0.134, 0.762)
Y (0.373, 0.611, 0.238)
Y (0.389, 0.627, 0.762)
Y (0.806, 0.806, 0.000)
Y (0.866, 0.627, 0.238)
In (0.250, 0.750, 0.500)
In (0.500, 0.500, 0.000)
O (0.657, 0.157, 0.500)
O (0.843, 0.343, 0.500)

Output
* total energy: -5.30 eV per atom
* formation energy (no corrections): 0.120 eV per atom



Record 14
Pa2NbTe: optimized geometry, PBE-GGA.

a = 4.445 Å, b = 4.445 Å, c = 4.588 Å
α = 90.00°, β = 90.00°, γ = 90.00°
Positions (direct):
Pa (0.000, 0.500, 0.000)
Pa (0.500, 0.000, 0.000)
Nb (0.000, 0.000, 0.500)
Te (0.500, 0.500, 0.500)

Output
* total energy: -8.19 eV per atom
* formation energy (no corrections): -0.142 eV per atom



Record 15
Er5In2Ir: optimized geometry, PBE-GGA.

a = 8.527 Å, b = 8.527 Å, c = 12.202 Å
α = 90.00°, β = 90.00°, γ = 142.29°
Positions (direct):
Er (0.072, 0.928, 0.602)
Er (0.072, 0.928, 0.898)
Er (0.294, 0.706, 0.567)
Er (0.294, 0.706, 0.933)
Er (0.300, 0.700, 0.250)
Er (0.700, 0.300, 0.750)
Er (0.706, 0.294, 0.067)
Er (0.706, 0.294, 0.433)
Er (0.928, 0.072, 0.102)
Er (0.928, 0.072, 0.398)
In (0.124, 0.876, 0.133)
In (0.124, 0.876, 0.367)
In (0.876, 0.124, 0.633)
In (0.876, 0.124, 0.867)
Ir (0.192, 0.808, 0.750)
Ir (0.808, 0.192, 0.250)

Output
* total energy: -4.78 eV per atom



Record 16
Cu2IrBr: optimized geometry, PBE-GGA.

a = 8.843 Å, b = 3.038 Å, c = 4.801 Å
α = 90.00°, β = 101.08°, γ = 90.00°
Positions (direct):
Cu (0.239, 0.000, 0.205)
Cu (0.261, 0.500, 0.795)
Cu (0.739, 0.500, 0.205)
Cu (0.761, 0.000, 0.795)
Ir (0.000, 0.500, 0.000)
Ir (0.500, 0.000, 0.000)
Br (0.000, 0.000, 0.500)
Br (0.500, 0.500, 0.500)

Output
* total energy: -4.02 eV per atom
* formation energy (no corrections): 0.661 eV per atom



Record 17
Li2Ge2Au: optimized geometry, PBE-GGA.

a = 3.792 Å, b = 3.792 Å, c = 12.064 Å
α = 90.00°, β = 90.00°, γ = 90.00°
Positions (direct):
Li (0.000, 0.500, 0.250)
Li (0.000, 0.500, 0.750)
Li (0.500, 0.000, 0.250)
Li (0.500, 0.000, 0.750)
Ge (0.000, 0.000, 0.098)
Ge (0.000, 0.000, 0.902)
Ge (0.500, 0.500, 0.402)
Ge (0.500, 0.500, 0.598)
Au (0.000, 0.000, 0.500)
Au (0.500, 0.500, 0.000)

Output
* total energy: -3.33 eV per atom



Record 18
ZnB2Pt2Rh5: optimized geometry, PBE-GGA.

a = 9.547 Å, b = 9.547 Å, c = 2.839 Å
α = 90.00°, β = 90.00°, γ = 90.00°
Positions (direct):
Zn (0.000, 0.000, 0.000)
Zn (0.500, 0.500, 0.000)
B (0.131, 0.369, 0.000)
B (0.369, 0.869, 0.000)
B (0.631, 0.131, 0.000)
B (0.869, 0.631, 0.000)
Pt (0.201, 0.701, 0.000)
Pt (0.299, 0.201, 0.000)
Pt (0.701, 0.799, 0.000)
Pt (0.799, 0.299, 0.000)
Rh (0.000, 0.500, 0.500)
Rh (0.042, 0.222, 0.500)
Rh (0.222, 0.958, 0.500)
Rh (0.278, 0.458, 0.500)
Rh (0.458, 0.722, 0.500)
Rh (0.500, 0.000, 0.500)
Rh (0.542, 0.278, 0.500)
Rh (0.722, 0.542, 0.500)
Rh (0.778, 0.042, 0.500)
Rh (0.958, 0.778, 0.500)

Output
* total energy: -6.55 eV per atom



Record 19
HfBePd2Br: optimized geometry, PBE-GGA.

a = 5.028 Å, b = 5.028 Å, c = 5.092 Å
α = 90.00°, β = 90.00°, γ = 90.00°
Positions (direct):
Hf (0.000, 0.000, 0.000)
Be (0.500, 0.500, 0.500)
Pd (0.000, 0.500, 0.000)
Pd (0.500, 0.000, 0.000)
Br (0.000, 0.000, 0.500)

Output
* total energy: -4.35 eV per atom
* formation energy (no corrections): 0.796 eV per atom



Record 20
SbOs3: optimized geometry, PBE-GGA.

a = 5.690 Å, b = 7.682 Å, c = 2.878 Å
α = 90.00°, β = 90.00°, γ = 90.00°
Positions (direct):
Sb (0.000, 0.000, 0.000)
Sb (0.500, 0.500, 0.000)
Os (0.000, 0.500, 0.000)
Os (0.250, 0.250, 0.500)
Os (0.250, 0.750, 0.500)
Os (0.500, 0.000, 0.000)
Os (0.750, 0.250, 0.500)
Os (0.750, 0.750, 0.500)

Output
* total energy: -8.79 eV per atom
* formation energy (no corrections): 0.659 eV per atom



Record 21
Pm6Si3S14: optimized geometry, PBE-GGA.

a = 10.178 Å, b = 10.178 Å, c = 5.710 Å
α = 90.00°, β = 90.00°, γ = 120.00°
Positions (direct):
Pm (0.023, 0.567, 0.000)
Pm (0.307, 0.097, 0.490)
Pm (0.433, 0.456, 0.000)
Pm (0.544, 0.977, 0.000)
Pm (0.791, 0.693, 0.490)
Pm (0.903, 0.209, 0.490)
Si (0.000, 0.000, 0.903)
Si (0.333, 0.667, 0.414)
Si (0.667, 0.333, 0.749)
S (0.000, 0.000, 0.273)
S (0.075, 0.854, 0.758)
S (0.146, 0.221, 0.758)
S (0.188, 0.446, 0.266)
S (0.258, 0.812, 0.266)
S (0.333, 0.667, 0.782)
S (0.413, 0.165, 0.004)
S (0.506, 0.419, 0.518)
S (0.554, 0.742, 0.266)
S (0.581, 0.088, 0.518)
S (0.752, 0.587, 0.004)
S (0.779, 0.925, 0.758)
S (0.835, 0.248, 0.004)
S (0.912, 0.494, 0.518)

Output
* total energy: -6.00 eV per atom
* formation energy (no corrections): -1.541 eV per atom



Record 22
AcPrH: optimized geometry, PBE-GGA.

a = 12.634 Å, b = 3.695 Å, c = 7.221 Å
α = 90.00°, β = 91.00°, γ = 90.00°
Positions (direct):
Ac (0.136, 0.000, 0.123)
Ac (0.364, 0.500, 0.877)
Ac (0.636, 0.500, 0.123)
Ac (0.864, 0.000, 0.877)
Pr (0.139, 0.000, 0.634)
Pr (0.361, 0.500, 0.366)
Pr (0.639, 0.500, 0.634)
Pr (0.861, 0.000, 0.366)
H (0.166, 0.500, 0.857)
H (0.334, 0.000, 0.143)
H (0.666, 0.000, 0.857)
H (0.834, 0.500, 0.143)

Output
* total energy: -4.16 eV per atom



Record 23
Al3NiPd12: optimized geometry, PBE-GGA.

a = 3.901 Å, b = 3.901 Å, c = 15.573 Å
α = 90.00°, β = 90.00°, γ = 90.00°
Positions (direct):
Al (0.000, 0.000, 0.000)
Al (0.000, 0.000, 0.251)
Al (0.000, 0.000, 0.749)
Ni (0.000, 0.000, 0.500)
Pd (0.000, 0.500, 0.126)
Pd (0.000, 0.500, 0.376)
Pd (0.000, 0.500, 0.624)
Pd (0.000, 0.500, 0.874)
Pd (0.500, 0.000, 0.126)
Pd (0.500, 0.000, 0.376)
Pd (0.500, 0.000, 0.624)
Pd (0.500, 0.000, 0.874)
Pd (0.500, 0.500, 0.000)
Pd (0.500, 0.500, 0.252)
Pd (0.500, 0.500, 0.500)
Pd (0.500, 0.500, 0.748)

Output
* total energy: -5.40 eV per atom